Record 1
Computed, not measured: a geometry-optimized SrYZn2Pt2 structure at the PBE level of DFT.

POSCAR file:
```
SrYZn2Pt2
1.0
4.429 0.000 0.000
-2.215 3.836 0.000
0.000 0.000 7.876
Sr Y Zn Pt
1 1 2 2
Cartesian
0.000 0.000 0.000
0.000 0.000 3.938
0.000 2.557 5.666
2.215 1.279 2.210
0.000 2.557 2.278
2.215 1.279 5.599
```

Computed properties:
- N(E_F) (states/eV/atom) = 0.821
- SG = P-3m1, No. 164
- DFT total energy (eV per atom) = -4.6132

---

Record 2
Computed, not measured: a geometry-optimized PrGdYAl structure at the PBE level of DFT.

POSCAR file:
```
PrGdYAl
1.0
7.689 0.000 0.000
0.000 7.689 0.000
0.000 0.000 7.689
Pr Gd Y Al
4 4 4 4
Cartesian
0.000 0.000 0.000
0.000 3.844 3.844
3.844 0.000 3.844
3.844 3.844 0.000
1.922 1.922 5.767
1.922 5.767 1.922
5.767 1.922 1.922
5.767 5.767 5.767
0.000 0.000 3.844
0.000 3.844 0.000
3.844 0.000 0.000
3.844 3.844 3.844
1.922 1.922 1.922
1.922 5.767 5.767
5.767 1.922 5.767
5.767 5.767 1.922
```

Computed properties:
- N(E_F) (states/eV/atom) = 1.583
- SG = F-43m, No. 216
- DFT total energy (eV per atom) = -7.3391